NaAlCdRu2, optimized geometry, DFT GGA-PBE; size of the total moment = 2.13 μB per formula unit; total DFT energy (no corrections) = -15.9 eV for the cell shown; volume = 98.5 Å³/f.u.
1.0
4.626 0.000 0.000
0.000 4.602 0.000
0.000 0.000 4.626
Ru Al Cd Na
2 1 1 1
direct
0.500 0.000 0.000 Ru
0.000 0.000 0.500 Ru
0.500 0.500 0.500 Al
0.000 0.500 0.000 Cd
0.000 0.000 0.000 Na

---

NaSc2AlCd, optimized geometry, DFT GGA-PBE; size of the total moment = 0.63 μB per formula unit; total DFT energy (no corrections) = -16.8 eV for the cell shown; volume = 143.6 Å³/f.u.
1.0
-5.194 -0.548 -0.951
-0.645 -1.965 4.657
-0.868 4.868 1.934
Cd Sc Na Al
1 2 1 1
direct
0.000 0.500 0.000 Cd
0.000 0.000 0.500 Sc
0.500 0.000 0.000 Sc
0.500 0.500 0.500 Na
0.000 0.000 0.000 Al

---

NaAl2CdSe4, optimized geometry, DFT GGA-PBE; formation energy from raw total energies = -0.710 eV per atom; size of the total moment = 0.00 μB per formula unit; volume = 224.8 Å³/f.u.
1.0
-6.790 -1.501 2.945
0.559 -2.978 6.917
2.986 6.130 -3.245
Se Al Na Cd
4 2 1 1
direct
0.902 0.385 0.000 Se
0.615 0.615 0.517 Se
0.385 0.902 0.000 Se
0.098 0.098 0.483 Se
0.750 0.250 0.500 Al
0.250 0.750 0.500 Al
0.500 0.500 0.000 Na
0.000 0.000 0.000 Cd